This record from Alexandria via LeMat-Bulk describes a geometry-optimized Cr3CuHg3O8 structure. The functional is PBE+U.

* total DFT energy (no corrections): -5.46 eV/atom
* space group: No. 12
* N(E_F): 6.3 states/eV/f.u.
* density: 7.877 g/cm³

Cell: 5.9354 6.0111 6.8626 Å, 107.27 90.00 119.58°
Last column: magnetic moment on the atom in μB.
Positions (direct):
1 Cr 0.5000 0.0000 0.5000  2.89
2 Cr 0.5000 0.5000 0.5000  2.88
3 Cr 0.0000 0.5000 0.5000  2.88
4 Cu 0.0000 0.0000 0.5000  -0.69
5 Hg 0.0000 0.0000 0.0000  -0.05
6 Hg 0.0000 0.5000 0.0000  -0.06
7 Hg 0.5000 0.5000 0.0000  -0.06
8 O 0.3005 0.6010 0.3438  -0.18
9 O 0.6995 0.3990 0.6562  -0.18
10 O 0.7951 0.5902 0.3391  -0.28
11 O 0.2049 0.4098 0.6609  -0.28
12 O 0.8018 0.0983 0.3414  -0.24
13 O 0.1982 0.9017 0.6586  -0.24
14 O 0.2966 0.0983 0.3414  -0.24
15 O 0.7034 0.9017 0.6586  -0.24